A plane-wave DFT calculation with GGA-PBE was carried out for an optimized crystal structure of NaMg2MnBr8.

Results
For the total energy, the calculation gives -40.8 eV/f.u. The formation energy without anion corrections is -1.147 eV/atom. Its space group is P2/m (10).

Unit cell a=6.867 b=6.373 c=7.859 alpha=90.00 beta=90.00 gamma=88.30
Last column: magnetic moment on the atom in μB.
Atoms (fractional coordinates):
Na: 0.000 0.000 0.500  0.00
Mg: 0.500 0.500 0.755  0.00
Mg: 0.500 0.500 0.245  0.00
Mn: 0.000 0.000 0.000  3.70
Br: 0.151 0.773 0.219  -0.01
Br: 0.653 0.730 0.000  0.03
Br: 0.849 0.227 0.219  -0.01
Br: 0.849 0.227 0.781  -0.01
Br: 0.347 0.270 0.000  0.03
Br: 0.151 0.773 0.781  -0.01
Br: 0.659 0.706 0.500  -0.01
Br: 0.341 0.294 0.500  -0.01

A plane-wave DFT calculation with GGA-PBE was carried out for an optimized crystal structure of KFe2P.

Results
For the total energy, the calculation gives -19.4 eV/f.u. Its formation enthalpy at 0 K is 4.07 eV per formula unit. Its space group is P4/mmm (123).

Unit cell a=4.188 b=4.188 c=3.880 alpha=90.00 beta=90.00 gamma=90.00
Last column: magnetic moment on the atom in μB.
Atoms (fractional coordinates):
Fe: 0.000 0.000 0.000  2.89
Fe: 0.500 0.500 0.000  2.89
K: 0.500 0.000 0.500  -0.01
P: 0.000 0.500 0.500  0.05

A plane-wave DFT calculation with GGA-PBE was carried out for an optimized crystal structure of Ac6Ge2SbS3.

Results
For the total energy, the calculation gives -67.9 eV/f.u. The formation energy without anion corrections is -1.461 eV/atom. Its space group is C2/m (12).

Unit cell a=4.554 b=8.977 c=10.040 alpha=101.38 beta=103.11 gamma=90.00
Atoms (fractional coordinates):
Ac: 0.329 0.909 0.657
Ac: 0.668 0.582 0.336
Ac: 0.671 0.091 0.343
Ac: 0.001 0.263 0.003
Ac: 0.999 0.737 0.997
Ac: 0.332 0.418 0.664
Ge: 0.834 0.667 0.668
Ge: 0.166 0.333 0.332
Sb: 0.500 0.000 0.000
S: 0.500 0.500 0.000
S: 0.835 0.166 0.669
S: 0.165 0.834 0.331

A plane-wave DFT calculation with GGA-PBE was carried out for an optimized crystal structure of AlFe2Si.

Results
For the total energy, the calculation gives -27.9 eV/f.u. The formation energy without anion corrections is -0.462 eV/atom. Its space group is Fm-3m (225).

Unit cell a=3.961 b=3.961 c=3.961 alpha=60.00 beta=60.00 gamma=60.00
Atoms (fractional coordinates):
Si: 0.500 0.500 0.500
Fe: 0.250 0.250 0.250
Fe: 0.750 0.750 0.750
Al: 0.000 0.000 0.000

A plane-wave DFT calculation with GGA-PBE was carried out for an optimized crystal structure of CdNiPt5.

Results
For the total energy, the calculation gives -36.7 eV/f.u. Its formation enthalpy at 0 K is 0.16 eV per formula unit. Its space group is P4/mmm (123).

Unit cell a=3.979 b=3.979 c=7.257 alpha=90.00 beta=90.00 gamma=90.00
Last column: magnetic moment on the atom in μB.
Atoms (fractional coordinates):
Cd: 0.000 0.000 0.000  -0.01
Ni: 0.000 0.000 0.500  0.77
Pt: 0.500 0.500 0.000  0.09
Pt: 0.500 0.000 0.288  0.18
Pt: 0.000 0.500 0.288  0.18
Pt: 0.500 0.000 0.712  0.18
Pt: 0.000 0.500 0.712  0.18

A plane-wave DFT calculation with GGA-PBE was carried out for an optimized crystal structure of BaTi2NbFe.

Results
For the total energy, the calculation gives -30.6 eV/f.u. Its formation enthalpy at 0 K is 5.62 eV per formula unit. Its space group is P4/mmm (123).

Unit cell a=4.617 b=5.306 c=4.617 alpha=90.00 beta=90.00 gamma=90.00
Last column: magnetic moment on the atom in μB.
Atoms (fractional coordinates):
Nb: 0.500 0.500 0.500  1.48
Ti: 0.000 0.000 0.500  -0.28
Ti: 0.500 0.000 0.000  -0.45
Ba: 0.000 0.500 0.000  0.07
Fe: 0.000 0.000 0.000  0.33

A plane-wave DFT calculation with GGA-PBE was carried out for an optimized crystal structure of DyPuRu2.

Results
For the total energy, the calculation gives -38.6 eV/f.u. Its formation enthalpy at 0 K is -1.07 eV per formula unit. Its space group is P4/mmm (123).

Unit cell a=3.374 b=3.374 c=6.855 alpha=90.00 beta=90.00 gamma=90.00
Last column: magnetic moment on the atom in μB.
Atoms (fractional coordinates):
Ru: 0.000 0.000 0.768  -0.48
Ru: 0.000 0.000 0.232  -0.48
Dy: 0.500 0.500 0.500  0.12
Pu: 0.500 0.500 0.000  4.71

A plane-wave DFT calculation with GGA-PBE was carried out for an optimized crystal structure of KTc2Sb.

Results
For the total energy, the calculation gives -22.7 eV/f.u. The formation energy without anion corrections is 0.801 eV/atom. Its space group is Pmmm (47).

Unit cell a=3.037 b=4.423 c=7.238 alpha=90.00 beta=90.00 gamma=90.00
Atoms (fractional coordinates):
K: 0.500 0.500 0.250
Sb: 0.500 0.500 0.750
Tc: 0.000 0.000 0.902
Tc: 0.000 0.000 0.598